Density functional theory data (PBE) for an optimized crystal structure of K4LiCo.

Results
Fermi-level density of states   1.5083 states/eV per atom
Formation energy from the elements   0.8251 eV/atom
Volume   307 Å³/cell
Crystal system   cubic

a = 7.5720 Å, b = 7.5720 Å, c = 7.5720 Å
α = 60.00°, β = 60.00°, γ = 60.00°
Each line ends with the local moment (μB).
Positions (direct):
1 K 0.8768 0.3744 0.3744  0.00
2 K 0.3744 0.3744 0.8768  0.00
3 K 0.3744 0.8768 0.3744  0.00
4 K 0.3744 0.3744 0.3744  0.00
5 Li 0.7500 0.7500 0.7500  0.00
6 Co 0.0000 0.0000 0.0000  2.14